Pr6Ge2Se3Br PBE-GGA relaxed; V = 342.3 Å³/cell; total magnetization = 0.00 μB per formula unit; ΔE_f (raw) = -17.723 eV per formula unit; final energy = -67.76 eV per cell
1.0
-4.0994 -1.2791 0.0015
2.2590 -7.2445 -4.2499
2.8621 -1.9533 8.9808
Pr Se Br Ge
6 3 1 2
Cartesian
1.4880 -4.7639 4.1588
-1.5365 -2.2811 2.7113
2.5581 -8.1958 2.0210
-0.4664 -5.7130 0.5735
0.6309 -2.0232 -1.0469
0.3908 -8.4537 5.7793
-0.9202 -4.2618 -2.1242
-1.1322 -3.5734 5.3895
2.1539 -6.9035 -0.6571
-2.0497 -0.6396 0.0008
0.0000 -7.2047 3.1564
1.0216 -3.2722 1.5759

***

SrBiOsPt2 PBE-GGA relaxed; V = 153.2 Å³/cell; total magnetization = 2.61 μB per formula unit; final energy = -17.51 eV per cell
1.0
-3.4270 -2.1005 -3.1311
-3.2213 -1.6787 4.6520
-2.5462 4.4099 -0.1717
Pt Os Bi Sr
2 1 1 1
Cartesian
-1.2731 2.2050 -0.0859
-1.7135 -1.0503 -1.5655
-4.5972 0.3153 0.6746
-1.6106 -0.8394 2.3260
0.0000 0.0000 0.0000

***

Al2MoOs PBE-GGA relaxed; V = 59.6 Å³/cell; relative energy among the computed polymorphs = 208 meV per atom; total magnetization = 0.00 μB per formula unit; final energy = -30.01 eV per cell
1.0
-3.2703 1.7004 -1.9649
-1.7546 -1.4928 1.6285
-0.5550 3.3505 3.8231
Os Al Mo
1 2 1
Cartesian
-3.3674 2.2434 3.1062
-2.2298 1.8995 5.3549
-1.2347 0.8870 2.8224
-2.2126 1.3146 0.3804

***

NbReSi3 PBE-GGA relaxed; V = 100.2 Å³/cell; relative energy among the computed polymorphs = 0 meV per atom; total magnetization = 3.63 μB per formula unit; ΔE_f (raw) = 4.920 eV per formula unit; final energy = -33.87 eV per cell
1.0
4.6447 0.0000 0.0000
0.0000 4.6447 0.0000
0.0000 0.0000 4.6447
Si Re Nb
3 1 1
Cartesian
0.0000 2.3223 0.0000
2.3223 0.0000 0.0000
0.0000 0.0000 2.3223
0.0000 0.0000 0.0000
2.3223 2.3223 2.3223

***

W2C PBE-GGA relaxed; V = 77.0 Å³/cell; total magnetization = 0.00 μB per formula unit; final energy = -65.19 eV per cell
1.0
0.5337 5.5088 8.7135
-3.1659 6.1480 7.6640
0.7562 -7.3908 -7.1667
W C
4 2
Cartesian
-1.1461 5.0755 7.1310
-2.0329 3.0456 5.4008
-1.6929 1.5399 3.2853
-1.4861 6.5812 9.2465
0.0000 0.0000 0.0000
-0.0131 1.9732 4.8678

***

LiVCd PBE-GGA relaxed; V = 101.0 Å³/cell; relative energy among the computed polymorphs = 31 meV per atom; total magnetization = 0.02 μB per formula unit; final energy = -22.92 eV per cell
1.0
2.9946 0.0002 -0.0535
0.0001 4.9035 -0.0010
-1.2271 -0.0299 6.9001
V Cd Li
2 2 2
Cartesian
2.5825 1.0900 1.0125
1.2188 1.0890 2.8215
1.1024 3.5414 1.1408
-0.2055 1.0890 5.3495
1.2999 3.5408 5.6763
-0.3066 3.5417 3.3744